1.
# Pa2TiIn (PBE, relaxed)
data_Pa2TiIn
_cell_length_a 4.308
_cell_length_b 4.308
_cell_length_c 4.873
_cell_angle_alpha 90.00
_cell_angle_beta 90.00
_cell_angle_gamma 90.00
_space_group_name_H-M_alt 'P 4/m m m'
_space_group_IT_number 123
_space_group_name_Hall '-P 4 2'
loop_
_atom_site_label
_atom_site_fract_x
_atom_site_fract_y
_atom_site_fract_z
Pa1 0.000 0.500 0.000
Ti1 0.000 0.000 0.500
In1 0.500 0.500 0.500
# Polymorph energy (0 for the lowest one) (kcal/mol of atoms): 0.00
# DFT formation energy (eV/atom): -0.02
# DOS at the Fermi energy (states/eV per cell): 5.863
# Total magnetization (μB/f.u.): 0.0
# Raw total energy (eV per atom): -7.42

2.
# Pm8ScTl2 (PBE, relaxed)
data_Pm8ScTl2
_cell_length_a 17.076
_cell_length_b 6.796
_cell_length_c 6.214
_cell_angle_alpha 90.00
_cell_angle_beta 102.15
_cell_angle_gamma 90.00
_space_group_name_H-M_alt 'C 1 2/m 1'
_space_group_IT_number 12
loop_
_space_group_symop_operation_xyz
'x,y,z'
'-x,-y,-z'
'-x,y,-z'
'x,-y,z'
'x+1/2,y+1/2,z'
'-x+1/2,-y+1/2,-z'
'-x+1/2,y+1/2,-z'
'x+1/2,-y+1/2,z'
loop_
_atom_site_label
_atom_site_fract_x
_atom_site_fract_y
_atom_site_fract_z
Pm1 0.011 0.000 0.249
Pm2 0.120 0.500 0.089
Pm3 0.172 0.242 0.631
Sc1 0.000 0.500 0.500
Tl1 0.179 0.000 0.103
# DFT formation energy (eV/atom): -0.04
# DOS at the Fermi energy (states/eV per cell): 37.336
# Total magnetization (μB/f.u.): 0.0
# Raw total energy (eV per atom): -4.50

3.
# ScOF3 (PBE, relaxed)
data_ScOF3
_cell_length_a 3.904
_cell_length_b 3.904
_cell_length_c 3.904
_cell_angle_alpha 90.00
_cell_angle_beta 90.00
_cell_angle_gamma 90.00
_space_group_name_H-M_alt 'P m -3 m'
_space_group_IT_number 221
_space_group_name_Hall '-P 4 2 3'
loop_
_atom_site_label
_atom_site_fract_x
_atom_site_fract_y
_atom_site_fract_z
Sc1 0.000 0.000 0.000
O1 0.500 0.500 0.500
F1 0.000 0.500 0.500
# Polymorph energy (0 for the lowest one) (kcal/mol of atoms): 37.02
# Formation energy without anion corrections (eV per atom): -0.947
# DOS at the Fermi energy (states/eV per cell): 7.012
# Total magnetization (μB/f.u.): 0.7
# Raw total energy (eV per atom): -4.33

4.
# TmThMg14 (PBE, relaxed)
data_TmThMg14
_cell_length_a 9.688
_cell_length_b 9.695
_cell_length_c 8.261
_cell_angle_alpha 90.00
_cell_angle_beta 90.00
_cell_angle_gamma 90.00
_space_group_name_H-M_alt 'C m m m'
_space_group_IT_number 65
_space_group_name_Hall '-C 2 2'
loop_
_atom_site_label
_atom_site_fract_x
_atom_site_fract_y
_atom_site_fract_z
Tm1 0.000 0.000 0.000
Th1 0.000 0.500 0.000
Mg1 0.000 0.000 0.500
Mg2 0.000 0.248 0.262
Mg3 0.000 0.500 0.500
Mg4 0.248 0.000 0.262
Mg5 0.250 0.250 0.000
Mg6 0.250 0.250 0.500
# DFT formation energy (eV/atom): 0.02
# DOS at the Fermi energy (states/eV per cell): 19.512
# Total magnetization (μB/f.u.): 0.0
# Raw total energy (eV per atom): -2.12

5.
# HoTm3Pb5 (PBE, relaxed)
data_HoTm3Pb5
_cell_length_a 9.4682
_cell_length_b 9.4682
_cell_length_c 6.5152
_cell_angle_alpha 90.00
_cell_angle_beta 90.00
_cell_angle_gamma 120.00
_space_group_name_H-M_alt 'P 63/m c m'
_space_group_IT_number 193
_space_group_name_Hall '-P 6c 2'
loop_
_atom_site_label
_atom_site_fract_x
_atom_site_fract_y
_atom_site_fract_z
Ho1 0.0000 0.0000 0.0000
Tm1 0.0000 0.3804 0.2500
Pb1 0.0000 0.2899 0.7500
Pb2 0.3333 0.6667 0.0000
# DFT formation energy (eV/atom): -0.35
# DOS at the Fermi energy (states/eV per cell): 16.171
# Total magnetization (μB/f.u.): 0.0
# Raw total energy (eV per atom): -4.41

6.
# Hf2FePbSe (PBE, relaxed)
data_Hf2FePbSe
_cell_length_a 5.031
_cell_length_b 5.031
_cell_length_c 4.350
_cell_angle_alpha 90.00
_cell_angle_beta 90.00
_cell_angle_gamma 90.00
_space_group_name_H-M_alt 'P 4/m m m'
_space_group_IT_number 123
_space_group_name_Hall '-P 4 2'
loop_
_atom_site_label
_atom_site_fract_x
_atom_site_fract_y
_atom_site_fract_z
Hf1 0.000 0.500 0.000
Fe1 0.000 0.000 0.000
Pb1 0.500 0.500 0.500
Se1 0.000 0.000 0.500
# Formation energy without anion corrections (eV per atom): 0.136
# DOS at the Fermi energy (states/eV per cell): 3.869
# Total magnetization (μB/f.u.): 0.0
# Raw total energy (eV per atom): -6.98

7.
# NaPbS2Cl (PBE, relaxed)
data_NaPbS2Cl
_cell_length_a 5.219
_cell_length_b 5.219
_cell_length_c 5.603
_cell_angle_alpha 90.00
_cell_angle_beta 90.00
_cell_angle_gamma 90.00
_space_group_name_H-M_alt 'P 4/m m m'
_space_group_IT_number 123
_space_group_name_Hall '-P 4 2'
loop_
_atom_site_label
_atom_site_fract_x
_atom_site_fract_y
_atom_site_fract_z
Na1 0.000 0.000 0.000
Pb1 0.500 0.500 0.500
S1 0.000 0.500 0.500
Cl1 0.500 0.500 0.000
# Polymorph energy (0 for the lowest one) (kcal/mol of atoms): 0.00
# Formation energy without anion corrections (eV per atom): -0.353
# DOS at the Fermi energy (states/eV per cell): 3.806
# Total magnetization (μB/f.u.): 0.0
# Raw total energy (eV per atom): -3.38

8.
# TbThIr2 (PBE, relaxed)
data_TbThIr2
_cell_length_a 7.043
_cell_length_b 7.043
_cell_length_c 7.043
_cell_angle_alpha 90.00
_cell_angle_beta 90.00
_cell_angle_gamma 90.00
_space_group_name_H-M_alt 'F m -3 m'
_space_group_IT_number 225
_space_group_name_Hall '-F 4 2 3'
loop_
_atom_site_label
_atom_site_fract_x
_atom_site_fract_y
_atom_site_fract_z
Tb1 0.000 0.000 0.000
Th1 0.000 0.000 0.500
Ir1 0.250 0.250 0.250
# Polymorph energy (0 for the lowest one) (kcal/mol of atoms): 2.98
# DFT formation energy (eV/atom): -0.78
# DOS at the Fermi energy (states/eV per cell): 9.774
# Total magnetization (μB/f.u.): 0.0
# Raw total energy (eV per atom): -8.22

9.
# AlCd2Cu (PBE, relaxed)
data_AlCd2Cu
_cell_length_a 3.028
_cell_length_b 3.028
_cell_length_c 7.950
_cell_angle_alpha 90.00
_cell_angle_beta 90.00
_cell_angle_gamma 90.00
_space_group_name_H-M_alt 'P 4 m m'
_space_group_IT_number 99
loop_
_space_group_symop_operation_xyz
'x,y,z'
'-y,x,z'
'-x,-y,z'
'y,-x,z'
'-x,y,z'
'y,x,z'
'x,-y,z'
'-y,-x,z'
loop_
_atom_site_label
_atom_site_fract_x
_atom_site_fract_y
_atom_site_fract_z
Al1 0.000 0.000 0.000
Cd1 0.000 0.000 0.586
Cd2 0.500 0.500 0.280
Cu1 0.500 0.500 0.824
# DFT formation energy (eV/atom): 0.03
# DOS at the Fermi energy (states/eV per cell): 1.145
# Total magnetization (μB/f.u.): 0.0
# Raw total energy (eV per atom): -2.39

10.
# NbSi2Se (PBE, relaxed)
data_NbSi2Se
_cell_length_a 6.213
_cell_length_b 6.213
_cell_length_c 9.472
_cell_angle_alpha 90.00
_cell_angle_beta 90.00
_cell_angle_gamma 90.00
_space_group_name_H-M_alt 'I -4 2 d'
_space_group_IT_number 122
_space_group_name_Hall 'I -4 2bw'
loop_
_atom_site_label
_atom_site_fract_x
_atom_site_fract_y
_atom_site_fract_z
Nb1 0.000 0.000 0.000
Si1 0.242 0.250 0.625
Se1 0.000 0.000 0.500
# Formation energy without anion corrections (eV per atom): 0.596
# DOS at the Fermi energy (states/eV per cell): 22.217
# Total magnetization (μB/f.u.): 0.0
# Raw total energy (eV per atom): -5.50

11.
# AlPt2Br (PBE, relaxed)
data_AlPt2Br
_cell_length_a 3.157
_cell_length_b 3.682
_cell_length_c 13.200
_cell_angle_alpha 90.00
_cell_angle_beta 90.00
_cell_angle_gamma 90.00
_space_group_name_H-M_alt 'I m m 2'
_space_group_IT_number 44
loop_
_space_group_symop_operation_xyz
'x,y,z'
'-x,-y,z'
'-x,y,z'
'x,-y,z'
'x+1/2,y+1/2,z+1/2'
'-x+1/2,-y+1/2,z+1/2'
'-x+1/2,y+1/2,z+1/2'
'x+1/2,-y+1/2,z+1/2'
loop_
_atom_site_label
_atom_site_fract_x
_atom_site_fract_y
_atom_site_fract_z
Al1 0.000 0.000 0.000
Pt1 0.000 0.000 0.435
Pt2 0.000 0.500 0.120
Br1 0.000 0.500 0.761
# Polymorph energy (0 for the lowest one) (kcal/mol of atoms): 5.67
# Formation energy without anion corrections (eV per atom): -0.195
# DOS at the Fermi energy (states/eV per cell): 3.503
# Total magnetization (μB/f.u.): 0.0
# Raw total energy (eV per atom): -4.57

12.
# Er7Bi2Pt2 (PBE, relaxed)
data_Er7Bi2Pt2
_cell_length_a 8.798
_cell_length_b 10.691
_cell_length_c 7.048
_cell_angle_alpha 90.00
_cell_angle_beta 90.00
_cell_angle_gamma 90.00
_space_group_name_H-M_alt 'C m m m'
_space_group_IT_number 65
_space_group_name_Hall '-C 2 2'
loop_
_atom_site_label
_atom_site_fract_x
_atom_site_fract_y
_atom_site_fract_z
Er1 0.000 0.000 0.000
Er2 0.000 0.500 0.233
Er3 0.250 0.250 0.242
Bi1 0.200 0.000 0.500
Pt1 0.000 0.279 0.000
# Polymorph energy (0 for the lowest one) (kcal/mol of atoms): 3.48
# DFT formation energy (eV/atom): -0.65
# DOS at the Fermi energy (states/eV per cell): 20.299
# Total magnetization (μB/f.u.): 0.0
# Raw total energy (eV per atom): -5.36

13.
# TbPmTc4 (PBE, relaxed)
data_TbPmTc4
_cell_length_a 7.702
_cell_length_b 7.702
_cell_length_c 7.702
_cell_angle_alpha 90.00
_cell_angle_beta 90.00
_cell_angle_gamma 90.00
_space_group_name_H-M_alt 'F -4 3 m'
_space_group_IT_number 216
_space_group_name_Hall 'F -4 2 3'
loop_
_atom_site_label
_atom_site_fract_x
_atom_site_fract_y
_atom_site_fract_z
Tb1 0.000 0.000 0.000
Pm1 0.250 0.250 0.750
Tc1 0.125 0.125 0.375
# DFT formation energy (eV/atom): -0.05
# DOS at the Fermi energy (states/eV per cell): 37.511
# Total magnetization (μB/f.u.): 0.0
# Raw total energy (eV per atom): -8.52

14.
# Fe4Pd6Pt (PBE, relaxed)
data_Fe4Pd6Pt
_cell_length_a 8.3493
_cell_length_b 8.3493
_cell_length_c 2.7208
_cell_angle_alpha 90.00
_cell_angle_beta 90.00
_cell_angle_gamma 120.00
_space_group_name_H-M_alt 'P -6 m 2'
_space_group_IT_number 187
_space_group_name_Hall 'P -6 2'
loop_
_atom_site_label
_atom_site_fract_x
_atom_site_fract_y
_atom_site_fract_z
Fe1 0.0000 0.0000 0.0000
Fe2 0.0048 0.5024 0.5000
Pd1 0.1513 0.3026 0.5000
Pd2 0.3860 0.1930 0.0000
Pt1 0.3333 0.6667 0.0000
# DFT formation energy (eV/atom): -0.03
# DOS at the Fermi energy (states/eV per cell): 8.574
# Total magnetization (μB/f.u.): 14.6
# Raw total energy (eV per atom): -6.48

15.
# HfAg5 (PBE, relaxed)
data_HfAg5
_cell_length_a 4.387
_cell_length_b 12.757
_cell_length_c 3.964
_cell_angle_alpha 90.00
_cell_angle_beta 90.00
_cell_angle_gamma 90.00
_space_group_name_H-M_alt 'C m m m'
_space_group_IT_number 65
_space_group_name_Hall '-C 2 2'
loop_
_atom_site_label
_atom_site_fract_x
_atom_site_fract_y
_atom_site_fract_z
Hf1 0.000 0.000 0.000
Ag1 0.000 0.167 0.500
Ag2 0.000 0.335 0.000
Ag3 0.000 0.500 0.500
# Polymorph energy (0 for the lowest one) (kcal/mol of atoms): 0.54
# DFT formation energy (eV/atom): 0.09
# DOS at the Fermi energy (states/eV per cell): 6.736
# Total magnetization (μB/f.u.): 0.0
# Raw total energy (eV per atom): -3.95

16.
# Sm2Al4GaAu3 (PBE, relaxed)
data_Sm2Al4GaAu3
_cell_length_a 4.365
_cell_length_b 4.365
_cell_length_c 10.557
_cell_angle_alpha 90.00
_cell_angle_beta 90.00
_cell_angle_gamma 90.00
_space_group_name_H-M_alt 'P -4 m 2'
_space_group_IT_number 115
loop_
_space_group_symop_operation_xyz
'x,y,z'
'y,-x,-z'
'-x,-y,z'
'-y,x,-z'
'-x,y,z'
'-y,-x,-z'
'x,-y,z'
'y,x,-z'
loop_
_atom_site_label
_atom_site_fract_x
_atom_site_fract_y
_atom_site_fract_z
Sm1 0.000 0.500 0.247
Al1 0.000 0.000 0.500
Al2 0.000 0.500 0.865
Al3 0.500 0.500 0.500
Ga1 0.500 0.500 0.000
Au1 0.000 0.000 0.000
Au2 0.000 0.500 0.630
# DFT formation energy (eV/atom): -0.69
# DOS at the Fermi energy (states/eV per cell): 3.642
# Total magnetization (μB/f.u.): 0.0
# Raw total energy (eV per atom): -4.42

17.
# La7Nd3In (PBE, relaxed)
data_La7Nd3In
_cell_length_a 7.2249
_cell_length_b 7.2249
_cell_length_c 8.8187
_cell_angle_alpha 90.00
_cell_angle_beta 90.00
_cell_angle_gamma 120.00
_space_group_name_H-M_alt 'P 3 m 1'
_space_group_IT_number 156
loop_
_space_group_symop_operation_xyz
'x,y,z'
'-y,x-y,z'
'-x+y,-x,z'
'-y,-x,z'
'-x+y,y,z'
'x,x-y,z'
loop_
_atom_site_label
_atom_site_fract_x
_atom_site_fract_y
_atom_site_fract_z
La1 0.0000 0.0000 0.0000
La2 0.0081 0.5040 0.9880
La3 0.3294 0.1647 0.6638
Nd1 0.1664 0.3329 0.3320
In1 0.3333 0.6667 0.6545
# DFT formation energy (eV/atom): 0.06
# DOS at the Fermi energy (states/eV per cell): 17.105
# Total magnetization (μB/f.u.): 0.0
# Raw total energy (eV per atom): -4.62

18.
# Pu2ZnN (PBE, relaxed)
data_Pu2ZnN
_cell_length_a 3.2973
_cell_length_b 3.2973
_cell_length_c 27.6004
_cell_angle_alpha 90.00
_cell_angle_beta 90.00
_cell_angle_gamma 120.00
_space_group_name_H-M_alt 'R -3 m'
_space_group_IT_number 166
_space_group_name_Hall '-R 3 2"'
loop_
_atom_site_label
_atom_site_fract_x
_atom_site_fract_y
_atom_site_fract_z
Pu1 0.0000 0.0000 0.1138
Zn1 0.0000 0.0000 0.0000
N1 0.0000 0.0000 0.5000
# Polymorph energy (0 for the lowest one) (kcal/mol of atoms): 3.69
# Formation energy without anion corrections (eV per atom): -0.336
# DOS at the Fermi energy (states/eV per cell): 38.684
# Total magnetization (μB/f.u.): 11.5
# Raw total energy (eV per atom): -9.90

19.
# AcNdRuRh (PBE, relaxed)
data_AcNdRuRh
_cell_length_a 7.227
_cell_length_b 7.227
_cell_length_c 7.227
_cell_angle_alpha 90.00
_cell_angle_beta 90.00
_cell_angle_gamma 90.00
_space_group_name_H-M_alt 'F -4 3 m'
_space_group_IT_number 216
_space_group_name_Hall 'F -4 2 3'
loop_
_atom_site_label
_atom_site_fract_x
_atom_site_fract_y
_atom_site_fract_z
Ac1 0.000 0.000 0.000
Nd1 0.000 0.000 0.500
Ru1 0.250 0.250 0.250
Rh1 0.250 0.250 0.750
# DFT formation energy (eV/atom): -0.26
# DOS at the Fermi energy (states/eV per cell): 10.503
# Total magnetization (μB/f.u.): 0.0
# Raw total energy (eV per atom): -6.64

20.
# Y2Sc2Cu (PBE, relaxed)
data_Y2Sc2Cu
_cell_length_a 7.003
_cell_length_b 7.003
_cell_length_c 5.232
_cell_angle_alpha 90.00
_cell_angle_beta 90.00
_cell_angle_gamma 90.00
_space_group_name_H-M_alt 'P 4/m b m'
_space_group_IT_number 127
_space_group_name_Hall '-P 4 2ab'
loop_
_atom_site_label
_atom_site_fract_x
_atom_site_fract_y
_atom_site_fract_z
Y1 0.165 0.335 0.000
Sc1 0.149 0.649 0.500
Cu1 0.000 0.000 0.500
# Polymorph energy (0 for the lowest one) (kcal/mol of atoms): 0.00
# DFT formation energy (eV/atom): 0.08
# DOS at the Fermi energy (states/eV per cell): 16.893
# Total magnetization (μB/f.u.): 0.0
# Raw total energy (eV per atom): -5.86